DFT (GGA-PBE) results for crystalline Ho7Tl4H at its relaxed geometry.

Cell and atoms, written as POSCAR:
```
Ho7Tl4H
1.0
5.110 0.000 0.000
2.555 8.532 0.288
2.555 0.714 7.924
H Ho Tl
1 7 4
Cartesian
0.000 0.000 0.000 H
7.665 2.861 6.989 Ho
2.555 6.386 1.223 Ho
7.665 7.717 4.749 Ho
2.555 0.000 0.000 Ho
5.110 5.323 5.821 Ho
2.555 1.530 3.463 Ho
5.110 3.924 2.391 Ho
5.110 7.007 3.117 Tl
2.555 3.057 0.814 Tl
7.665 6.190 7.398 Tl
5.110 2.240 5.095 Tl
```

Calculated values
Total magnetic moment, μB per atom: 0.00
VASP energy, eV for the cell shown: -46.53



DFT (GGA-PBE) results for crystalline Ho4Tl3H2 at its relaxed geometry.

Cell and atoms, written as POSCAR:
```
Ho4Tl3H2
1.0
-1.208 5.588 2.878
-4.519 -2.680 6.522
4.587 -0.929 6.945
Ho H Tl
8 4 6
Cartesian
-2.498 -1.770 5.053 Ho
-1.771 2.460 11.992 Ho
0.259 -0.060 10.620 Ho
1.909 1.988 6.725 Ho
1.358 3.750 11.292 Ho
0.631 -0.480 4.353 Ho
-3.049 -0.008 9.620 Ho
-1.399 2.040 5.725 Ho
1.122 -2.002 10.082 H
-1.803 0.345 11.413 H
0.662 1.634 4.932 H
-2.263 3.982 6.263 H
-4.660 2.569 10.660 Tl
-0.750 2.410 8.898 Tl
-0.390 -0.431 7.448 Tl
-4.149 0.846 6.796 Tl
3.009 1.133 9.549 Tl
3.520 -0.590 5.685 Tl
```

Calculated values
Total magnetic moment, μB per atom: 0.00
VASP energy, eV for the cell shown: -71.01
Energy above the lowest structure with this stoichiometry, eV/atom: 0.009



DFT (GGA-PBE) results for crystalline Ho4Tl5H2 at its relaxed geometry.

Cell and atoms, written as POSCAR:
```
Ho4Tl5H2
1.0
-3.445 -0.119 -0.204
0.055 -7.747 3.572
1.088 7.659 6.408
Tl Ho H
5 4 2
Cartesian
-0.158 -5.116 5.645 Tl
-1.723 -0.059 -0.102 Tl
-2.144 4.909 4.130 Tl
-0.194 -0.135 3.349 Tl
-2.108 -0.073 6.426 Tl
0.038 -5.270 2.430 Ho
-0.400 2.457 5.337 Ho
-1.902 -2.665 4.439 Ho
0.018 -2.477 1.142 Ho
-1.757 -3.551 2.514 H
-0.545 3.344 7.262 H
```

Calculated values
Total magnetic moment, μB per atom: 0.00
VASP energy, eV for the cell shown: -38.83



DFT (GGA-PBE) results for crystalline Ho5Tl4H at its relaxed geometry.

Cell and atoms, written as POSCAR:
```
Ho5Tl4H
1.0
5.656 0.000 0.000
2.828 6.751 0.000
2.828 0.000 6.751
H Ho Tl
1 5 4
Cartesian
0.522 0.000 0.000 H
2.774 4.439 0.468 Ho
8.430 2.311 6.283 Ho
5.602 0.468 2.311 Ho
5.602 6.283 4.439 Ho
2.778 0.000 0.000 Ho
8.435 4.711 4.299 Tl
5.607 2.452 4.711 Tl
2.779 2.040 2.452 Tl
5.607 4.299 2.040 Tl
```

Calculated values
Total magnetic moment, μB per atom: 0.00
VASP energy, eV for the cell shown: -37.23



DFT (GGA-PBE) results for crystalline Ho3Tl2H at its relaxed geometry.

Cell and atoms, written as POSCAR:
```
Ho3Tl2H
1.0
-4.182 -3.154 3.380
2.141 -5.830 -2.791
6.450 1.684 3.804
Ho H Tl
6 2 4
Cartesian
2.732 -6.726 3.769 Ho
2.327 -3.308 4.626 Ho
-1.219 -2.780 0.719 Ho
1.677 -0.574 0.623 Ho
2.081 -3.992 -0.234 Ho
-0.823 -6.204 -0.131 Ho
0.198 -1.712 -0.425 H
-2.239 -7.272 1.014 H
0.491 -4.839 2.420 Tl
-0.159 -1.606 3.475 Tl
3.918 -2.461 1.973 Tl
4.567 -5.694 0.917 Tl
```

Calculated values
Total magnetic moment, μB per atom: 0.00
VASP energy, eV for the cell shown: -46.75



DFT (GGA-PBE) results for crystalline Y2Ho4Tl3H2 at its relaxed geometry.

Cell and atoms, written as POSCAR:
```
Y2Ho4Tl3H2
1.0
4.726 0.000 0.000
0.000 4.726 0.000
-2.363 -2.363 12.209
Tl H Ho Y
3 2 4 2
Cartesian
0.000 0.000 0.000 Tl
2.363 2.363 7.967 Tl
0.000 0.000 4.243 Tl
0.000 0.000 9.732 H
2.363 2.363 2.477 H
0.000 2.363 10.157 Ho
2.363 0.000 2.052 Ho
2.363 0.000 10.157 Ho
0.000 2.363 2.052 Ho
2.363 2.363 4.817 Y
0.000 0.000 7.392 Y
```

Calculated values
Total magnetic moment, μB per atom: 0.00
VASP energy, eV for the cell shown: -48.23



DFT (GGA-PBE) results for crystalline HoTm2H at its relaxed geometry.

Cell and atoms, written as POSCAR:
```
HoTm2H
1.0
-0.504 -3.491 0.338
2.707 -2.235 -0.481
2.602 -1.392 8.065
H Tm Ho
1 2 1
Cartesian
0.000 0.000 0.000 H
3.769 -5.293 6.660 Tm
1.036 -1.825 1.263 Tm
2.403 -3.559 3.961 Ho
```

Calculated values
Total magnetic moment, μB per atom: 0.00
VASP energy, eV for the cell shown: -17.64
Energy above the lowest structure with this stoichiometry, eV/atom: 0.000



DFT (GGA-PBE) results for crystalline Ho4Tm2H at its relaxed geometry.

Cell and atoms, written as POSCAR:
```
Ho4Tm2H
1.0
-1.359 4.541 0.676
0.447 -0.571 4.733
7.604 4.466 2.243
Ho Tm H
4 2 1
Cartesian
5.201 3.726 2.380 Ho
1.491 4.709 5.271 Ho
0.223 -0.286 2.366 Ho
-0.680 2.270 0.338 Ho
1.921 2.717 2.568 Tm
4.771 5.719 5.084 Tm
0.000 0.000 0.000 H
```

Calculated values
Total magnetic moment, μB per atom: 0.00
VASP energy, eV for the cell shown: -30.08